Below is a geometry-optimized RbMn2GeI8 structure, with properties calculated at the GGA-PBE level.

a b c (Å): 11.9142 11.9142 11.9142
angles (deg): 35.65 35.65 35.65
Element x y z (fractional)
Rb 0.0000 0.0000 0.0000
Mn 0.2487 0.2487 0.2487
Mn 0.7513 0.7513 0.7513
Ge 0.5000 0.5000 0.5000
I 0.1265 0.4267 0.7666
I 0.2334 0.5733 0.8735
I 0.3269 0.3269 0.3269
I 0.4267 0.7666 0.1265
I 0.5733 0.8735 0.2334
I 0.6731 0.6731 0.6731
I 0.7666 0.1265 0.4267
I 0.8735 0.2334 0.5733

Total magnetic moment (μB per cell): 9.00
Formation energy from raw total energies (eV per formula unit): -5.63